No. 1
TaSeNF2: relaxed, PBE-GGA. Values from VASP.

Summary:
- raw total energy (eV/atom) = -6.44
- ΔE_f (raw) (eV/atom) = -0.959
- density of states at the Fermi level (states/eV/atom) = 0.54

Cell and atoms, written as Quantum ESPRESSO input:
```
&SYSTEM
  ibrav = 0, nat = 5, ntyp = 4
/
ATOMIC_SPECIES
Ta 180.95 Ta.upf
Se 78.96 Se.upf
N 14.01 N.upf
F 19.00 F.upf
ATOMIC_POSITIONS angstrom
Ta 0.0000 0.0000 0.0000
Se 2.0416 2.0416 2.0785
N 0.0000 0.0000 2.0785
F 0.0000 2.0416 0.0000
F 2.0416 0.0000 0.0000
CELL_PARAMETERS angstrom
4.0832 0.0000 0.0000
0.0000 4.0832 0.0000
0.0000 0.0000 4.1571
```



No. 2
TeSeNF2: relaxed, PBE-GGA. Values from VASP.

Summary:
- raw total energy (eV/atom) = -3.48
- ΔE_f (raw) (eV/atom) = 0.256
- density of states at the Fermi level (states/eV/atom) = 0.43

Cell and atoms, written as Quantum ESPRESSO input:
```
&SYSTEM
  ibrav = 0, nat = 5, ntyp = 4
/
ATOMIC_SPECIES
Te 127.60 Te.upf
Se 78.96 Se.upf
N 14.01 N.upf
F 19.00 F.upf
ATOMIC_POSITIONS angstrom
Te 0.0000 0.0000 0.0000
Se 2.4392 2.4392 1.8004
N 2.4392 2.4392 0.0000
F 0.0000 2.4392 1.8004
F 2.4392 0.0000 1.8004
CELL_PARAMETERS angstrom
4.8785 0.0000 0.0000
0.0000 4.8785 0.0000
0.0000 0.0000 3.6009
```



No. 3
Te2SeNF: relaxed, PBE-GGA. Values from VASP.

Summary:
- raw total energy (eV/atom) = -3.16
- ΔE_f (raw) (eV/atom) = 0.832
- density of states at the Fermi level (states/eV/atom) = 1.33

Cell and atoms, written as Quantum ESPRESSO input:
```
&SYSTEM
  ibrav = 0, nat = 5, ntyp = 4
/
ATOMIC_SPECIES
Te 127.60 Te.upf
Se 78.96 Se.upf
N 14.01 N.upf
F 19.00 F.upf
ATOMIC_POSITIONS angstrom
Te 0.0000 2.8351 0.0000
Te 2.8351 0.0000 0.0000
Se 0.0000 0.0000 0.0000
N 0.0000 0.0000 1.8042
F 2.8351 2.8351 1.8042
CELL_PARAMETERS angstrom
5.6703 0.0000 0.0000
0.0000 5.6703 0.0000
0.0000 0.0000 3.6084
```



No. 4
TeSeN2F: relaxed, PBE-GGA. Values from VASP.

Summary:
- raw total energy (eV/atom) = -3.05
- ΔE_f (raw) (eV/atom) = 1.980
- density of states at the Fermi level (states/eV/atom) = 0.60

Cell and atoms, written as Quantum ESPRESSO input:
```
&SYSTEM
  ibrav = 0, nat = 5, ntyp = 4
/
ATOMIC_SPECIES
Te 127.60 Te.upf
Se 78.96 Se.upf
N 14.01 N.upf
F 19.00 F.upf
ATOMIC_POSITIONS angstrom
Te 0.0000 0.0000 0.0000
Se 2.1469 2.1469 0.0000
N 0.0000 2.1469 2.0100
N 2.1469 0.0000 2.0100
F 2.1469 2.1469 2.0100
CELL_PARAMETERS angstrom
4.2938 0.0000 0.0000
0.0000 4.2938 0.0000
0.0000 0.0000 4.0199
```



No. 5
TeSeN2F: relaxed, PBE-GGA. Values from VASP.

Summary:
- raw total energy (eV/atom) = -3.94
- ΔE_f (raw) (eV/atom) = 1.087
- density of states at the Fermi level (states/eV/atom) = 0.36

Cell and atoms, written as Quantum ESPRESSO input:
```
&SYSTEM
  ibrav = 0, nat = 5, ntyp = 4
/
ATOMIC_SPECIES
Te 127.60 Te.upf
Se 78.96 Se.upf
N 14.01 N.upf
F 19.00 F.upf
ATOMIC_POSITIONS angstrom
Te 0.0000 0.0000 0.0000
Se 2.0496 2.0496 2.0371
N 0.0000 2.0496 2.0371
N 2.0496 0.0000 2.0371
F 2.0496 2.0496 0.0000
CELL_PARAMETERS angstrom
4.0993 0.0000 0.0000
0.0000 4.0993 0.0000
0.0000 0.0000 4.0741
```



No. 6
TeSeN2F: relaxed, PBE-GGA. Values from VASP.

Summary:
- raw total energy (eV/atom) = -3.80
- ΔE_f (raw) (eV/atom) = 1.226
- density of states at the Fermi level (states/eV/atom) = 0.64

Cell and atoms, written as Quantum ESPRESSO input:
```
&SYSTEM
  ibrav = 0, nat = 5, ntyp = 4
/
ATOMIC_SPECIES
Te 127.60 Te.upf
Se 78.96 Se.upf
N 14.01 N.upf
F 19.00 F.upf
ATOMIC_POSITIONS angstrom
Te 0.0000 0.0000 0.0000
Se 0.0000 0.0000 3.2937
N 0.0000 1.8409 3.2937
N 1.8409 0.0000 3.2937
F 1.8409 1.8409 0.0000
CELL_PARAMETERS angstrom
3.6817 0.0000 0.0000
0.0000 3.6817 0.0000
0.0000 0.0000 6.5874
```